## Pr4TlAu (GGA-PBE)

Data for crystalline Pr4TlAu at its relaxed geometry.

abc: 5.363 13.024 5.381
angles: 90.00 90.02 90.00
Sites, in units of the cell vectors:
Tl (0.000, 0.000, 0.000)
Tl (0.500, 0.500, 0.000)
Pr (0.500, 0.848, 0.000)
Pr (0.500, 0.152, 0.000)
Pr (0.000, 0.149, 0.500)
Pr (0.500, 0.351, 0.500)
Pr (0.000, 0.851, 0.500)
Pr (0.500, 0.649, 0.500)
Pr (0.000, 0.348, 0.000)
Pr (0.000, 0.652, 0.000)
Au (0.500, 0.000, 0.500)
Au (0.000, 0.500, 0.500)

Space group: No. 65
Distance to the lowest polymorph of the same formula: 37 meV/atom
Energy of formation: -0.33 eV per atom
Density of states at the Fermi level: 1.2270 states/eV/atom
Uncorrected energy: -4.452 eV/atom

=====

## PrTlAu4 (GGA-PBE)

Data for crystalline PrTlAu4 at its relaxed geometry.

abc: 5.714 5.714 5.714
angles: 60.00 60.00 60.00
Sites, in units of the cell vectors:
Au (0.625, 0.125, 0.625)
Au (0.625, 0.625, 0.125)
Au (0.625, 0.625, 0.625)
Au (0.125, 0.625, 0.625)
Pr (0.250, 0.250, 0.250)
Tl (0.000, 0.000, 0.000)

Space group: No. 216
Distance to the lowest polymorph of the same formula: 3 meV/atom
Energy of formation: -0.40 eV per atom
Density of states at the Fermi level: 0.2493 states/eV/atom
Uncorrected energy: -3.781 eV/atom

=====

## Pr6TlAu5 (GGA-PBE)

Data for crystalline Pr6TlAu5 at its relaxed geometry.

abc: 5.297 7.626 9.233
angles: 65.61 73.49 90.00
Sites, in units of the cell vectors:
Au (0.333, 0.332, 0.336)
Au (0.345, 0.844, 0.312)
Au (0.667, 0.668, 0.664)
Au (0.000, 0.500, 0.000)
Au (0.655, 0.156, 0.688)
Pr (0.171, 0.426, 0.658)
Pr (0.171, 0.916, 0.658)
Pr (0.500, 0.737, 0.000)
Pr (0.829, 0.084, 0.342)
Pr (0.500, 0.263, 0.000)
Pr (0.829, 0.574, 0.342)
Tl (0.000, 0.000, 0.000)

Space group: No. 12
Energy of formation: -0.67 eV per atom
Density of states at the Fermi level: 0.8348 states/eV/atom
Uncorrected energy: -4.625 eV/atom

=====

## Pr5Tl4Au (GGA-PBE)

Data for crystalline Pr5Tl4Au at its relaxed geometry.

abc: 3.746 3.746 21.055
angles: 90.00 90.00 90.00
Sites, in units of the cell vectors:
Tl (0.000, 0.000, 0.191)
Tl (0.000, 0.000, 0.397)
Tl (0.000, 0.000, 0.809)
Tl (0.000, 0.000, 0.603)
Pr (0.500, 0.500, 0.912)
Pr (0.500, 0.500, 0.706)
Pr (0.500, 0.500, 0.088)
Pr (0.500, 0.500, 0.500)
Pr (0.500, 0.500, 0.294)
Au (0.000, 0.000, 0.000)

Space group: No. 123
Energy of formation: -0.47 eV per atom
Density of states at the Fermi level: 0.7395 states/eV/atom
Uncorrected energy: -4.134 eV/atom

=====

## Pr6Tl2Au (GGA-PBE)

Data for crystalline Pr6Tl2Au at its relaxed geometry.

abc: 6.451 8.811 10.451
angles: 90.00 86.98 90.00
Sites, in units of the cell vectors:
Pr (0.873, 0.664, 0.552)
Pr (0.127, 0.336, 0.448)
Pr (0.375, 0.538, 0.729)
Pr (0.106, 0.309, 0.055)
Pr (0.875, 0.962, 0.229)
Pr (0.625, 0.462, 0.271)
Pr (0.373, 0.836, 0.052)
Pr (0.394, 0.809, 0.445)
Pr (0.894, 0.691, 0.945)
Pr (0.627, 0.164, 0.948)
Pr (0.125, 0.038, 0.771)
Pr (0.606, 0.191, 0.555)
Au (0.000, 0.000, 0.500)
Au (0.500, 0.500, 0.000)
Tl (0.412, 0.121, 0.256)
Tl (0.088, 0.621, 0.244)
Tl (0.912, 0.379, 0.756)
Tl (0.588, 0.879, 0.744)

Space group: No. 14
Distance to the lowest polymorph of the same formula: 90 meV/atom
Energy of formation: -0.26 eV per atom
Density of states at the Fermi level: 1.2909 states/eV/atom
Uncorrected energy: -4.341 eV/atom

=====

## PrTlAu (GGA-PBE)

Data for crystalline PrTlAu at its relaxed geometry.

abc: 3.693 3.693 6.350
angles: 106.91 106.91 90.00
Sites, in units of the cell vectors:
Au (0.283, 0.283, 0.566)
Tl (0.632, 0.632, 0.264)
Pr (0.935, 0.935, 0.871)

Space group: No. 107
Energy of formation: -0.43 eV per atom
Density of states at the Fermi level: 0.5996 states/eV/atom
Uncorrected energy: -3.904 eV/atom

=====

What is the formula in the fourth record? Pr5Tl4Au